No. 1
Material: CePaPb2
Method: DFT, PBE
State: relaxed

Properties
E above lowest polymorph = 30 meV/atom
ΔH_f (0 K) = -93 meV/atom
E_tot = -5.8046 eV per atom
magnetic moment = 2.225 μB/f.u.
crystal system = tetragonal

a = 4.9937 Å, b = 4.9937 Å, c = 4.5353 Å
α = 90.00°, β = 90.00°, γ = 90.00°
Closest atoms and distances in Å follow each position.
Positions (direct):
Ce 0.0000 0.0000 0.0000  8 Pb 3.37, 4 Pa 3.53
Pa 0.5000 0.5000 0.0000  8 Pb 3.37, 4 Ce 3.53
Pb 0.0000 0.5000 0.5000  4 Pa 3.37, 4 Ce 3.37, 4 Pb 3.53
Pb 0.5000 0.0000 0.5000  4 Pa 3.37, 4 Ce 3.37, 4 Pb 3.53

No. 2
Material: Sr2HoGe3Pd4
Method: DFT, PBE
State: relaxed

Properties
ΔH_f (0 K) = -760 meV/atom
E_tot = -5.0161 eV per atom
magnetic moment = 0.000 μB/f.u.
crystal system = tetragonal

a = 4.4121 Å, b = 4.4121 Å, c = 11.0543 Å
α = 90.00°, β = 90.00°, γ = 90.00°
Closest atoms and distances in Å follow each position.
Positions (direct):
Sr 0.0000 0.5000 0.2294  6 Ge 3.36-3.72, 8 Pd 3.36-3.37, 2 Ho 3.72
Sr 0.5000 0.0000 0.7706  6 Ge 3.36-3.72, 8 Pd 3.36-3.37, 2 Ho 3.72
Ho 0.0000 0.0000 0.5000  4 Pd 2.80, 4 Ge 3.12
Ge 0.0000 0.5000 0.8834  5 Pd 2.52-2.55
Ge 0.5000 0.0000 0.1166  5 Pd 2.52-2.55
Ge 0.5000 0.5000 0.5000  4 Pd 2.80, 4 Ho 3.12
Pd 0.0000 0.0000 0.0000  4 Ge 2.55
Pd 0.0000 0.5000 0.6554  3 Ge 2.52-2.80, 2 Ho 2.80
Pd 0.5000 0.0000 0.3446  3 Ge 2.52-2.80, 2 Ho 2.80
Pd 0.5000 0.5000 0.0000  4 Ge 2.55

No. 3
Material: KSrBr2
Method: DFT, PBE
State: relaxed

Properties
E above lowest polymorph = 654 meV/atom
formation energy (no corrections) = -86.1 kJ/mol of atoms
E_tot = -2.4239 eV per atom
magnetic moment = 0.469 μB/f.u.
crystal system = cubic

a = 5.9641 Å, b = 5.9641 Å, c = 5.9641 Å
α = 60.00°, β = 60.00°, γ = 60.00°
Closest atoms and distances in Å follow each position.
Positions (direct):
K 0.0000 0.0000 0.0000  4 Br 3.65, 4 Sr 3.65
Sr 0.2500 0.2500 0.2500  4 Br 3.65, 4 K 3.65
Br 0.5000 0.5000 0.5000  4 Br 3.65, 4 Sr 3.65
Br 0.7500 0.7500 0.7500  4 K 3.65, 4 Br 3.65

No. 4
Material: LiGaIrW
Method: DFT, PBE
State: relaxed

Properties
ΔH_f (0 K) = -159 meV/atom
E_tot = -6.8479 eV per atom
magnetic moment = 0.000 μB/f.u.
crystal system = cubic

a = 4.3086 Å, b = 4.3086 Å, c = 4.3086 Å
α = 60.00°, β = 60.00°, γ = 60.00°
Closest atoms and distances in Å follow each position.
Positions (direct):
Li 0.0000 0.0000 0.0000  4 W 2.64, 4 Ga 2.64
Ga 0.2500 0.2500 0.2500  4 Li 2.64, 4 Ir 2.64
Ir 0.5000 0.5000 0.5000  4 W 2.64, 4 Ga 2.64
W 0.7500 0.7500 0.7500  4 Li 2.64, 4 Ir 2.64

No. 5
Material: TbPr2Sm3Ho6
Method: DFT, PBE
State: relaxed

Properties
ΔH_f (0 K) = 15 meV/atom
E_tot = -4.6364 eV per atom
magnetic moment = 0.000 μB/f.u.
crystal system = monoclinic

a = 6.2172 Å, b = 6.2172 Å, c = 11.8092 Å
α = 95.01°, β = 95.01°, γ = 119.97°
Closest atoms and distances in Å follow each position.
Positions (direct):
Tb 0.0000 0.0000 0.0000  6 Ho 3.58, 6 Pr 3.59
Pr 0.3335 0.6665 0.0000  6 Ho 3.58, 3 Pr 3.59, 3 Tb 3.59
Pr 0.6665 0.3335 0.0000  6 Ho 3.58, 3 Pr 3.59, 3 Tb 3.59
Sm 0.1667 0.8333 0.5000  6 Ho 3.56, 6 Sm 3.59
Sm 0.5000 0.5000 0.5000  6 Ho 3.56, 6 Sm 3.59
Sm 0.8333 0.1667 0.5000  6 Ho 3.56, 6 Sm 3.59
Ho 0.0840 0.4167 0.2509  3 Sm 3.56, 2 Pr 3.58, 1 Tb 3.58, 6 Ho 3.58-3.59
Ho 0.2485 0.2485 0.7489  3 Sm 3.56, 1 Tb 3.58, 2 Pr 3.58, 6 Ho 3.58-3.59
Ho 0.4167 0.0840 0.2509  3 Sm 3.56, 2 Pr 3.58, 1 Tb 3.58, 6 Ho 3.58-3.59
Ho 0.5833 0.9160 0.7491  3 Sm 3.56, 2 Pr 3.58, 1 Tb 3.58, 6 Ho 3.58-3.59
Ho 0.7515 0.7515 0.2511  3 Sm 3.56, 1 Tb 3.58, 2 Pr 3.58, 6 Ho 3.58-3.59
Ho 0.9160 0.5833 0.7491  3 Sm 3.56, 2 Pr 3.58, 1 Tb 3.58, 6 Ho 3.58-3.59

No. 6
Material: AlCr
Method: DFT, PBE
State: relaxed

Properties
ΔH_f (0 K) = -87 meV/atom
E_tot = -6.7703 eV per atom
magnetic moment = 0.005 μB/f.u.
crystal system = orthorhombic

a = 8.7310 Å, b = 4.2632 Å, c = 5.7484 Å
α = 90.00°, β = 90.00°, γ = 90.00°
Closest atoms and distances in Å follow each position.
Positions (direct):
Al 0.1062 0.2500 0.2470  7 Cr 2.56-2.84, 4 Al 2.59-2.62
Al 0.1463 0.7500 0.9986  4 Cr 2.55-2.69, 4 Al 2.59-2.62
Al 0.3537 0.2500 0.4986  4 Cr 2.55-2.69, 4 Al 2.59-2.62
Al 0.3938 0.7500 0.7470  7 Cr 2.56-2.84, 4 Al 2.59-2.62
Al 0.6062 0.2500 0.2530  7 Cr 2.56-2.84, 4 Al 2.59-2.62
Al 0.6463 0.7500 0.5014  4 Cr 2.55-2.69, 4 Al 2.59-2.62
Al 0.8537 0.2500 0.0014  4 Cr 2.55-2.69, 4 Al 2.59-2.62
Al 0.8938 0.7500 0.7530  7 Cr 2.56-2.84, 4 Al 2.59-2.62
Cr 0.1090 0.2500 0.7392  4 Cr 2.54-2.69, 7 Al 2.55-2.84
Cr 0.1356 0.7500 0.5017  4 Cr 2.54-2.69, 4 Al 2.56-2.66
Cr 0.3644 0.2500 0.0017  4 Cr 2.54-2.69, 4 Al 2.56-2.66
Cr 0.3910 0.7500 0.2392  4 Cr 2.54-2.69, 7 Al 2.55-2.84
Cr 0.6090 0.2500 0.7608  4 Cr 2.54-2.69, 7 Al 2.55-2.84
Cr 0.6356 0.7500 0.9983  4 Cr 2.54-2.69, 4 Al 2.56-2.66
Cr 0.8644 0.2500 0.4983  4 Cr 2.54-2.69, 4 Al 2.56-2.66
Cr 0.8910 0.7500 0.2608  4 Cr 2.54-2.69, 7 Al 2.55-2.84

No. 7
Material: ReAu2Cl
Method: DFT, PBE
State: relaxed

Properties
E above lowest polymorph = 53 meV/atom
formation energy (no corrections) = 39.4 kJ/mol of atoms
E_tot = -4.8039 eV per atom
magnetic moment = 0.000 μB/f.u.
crystal system = monoclinic

a = 7.2110 Å, b = 7.2110 Å, c = 4.6550 Å
α = 108.29°, β = 108.29°, γ = 22.62°
Closest atoms and distances in Å follow each position.
Positions (direct):
Re 0.0000 0.0000 0.0000  2 Cl 2.36
Au 0.3216 0.3216 0.8269  2 Re 2.78, 4 Au 2.83-2.95
Au 0.4570 0.4570 0.4583  4 Re 2.78, 4 Au 2.83-2.95
Cl 0.6414 0.6414 0.1382  2 Re 2.36

No. 8
Material: TiInTc2H
Method: DFT, PBE
State: relaxed

Properties
E_tot = -7.0083 eV per atom
magnetic moment = 0.005 μB/f.u.
crystal system = tetragonal

a = 4.1317 Å, b = 4.1317 Å, c = 3.8958 Å
α = 90.00°, β = 90.00°, γ = 90.00°
Closest atoms and distances in Å follow each position.
Positions (direct):
Ti 0.0000 0.0000 0.0000  2 H 1.95
In 0.5000 0.5000 0.0000  8 Tc 2.84, 4 Ti 2.92
Tc 0.0000 0.5000 0.5000  2 H 2.07
Tc 0.5000 0.0000 0.5000  2 H 2.07
H 0.0000 0.0000 0.5000  2 Ti 1.95, 4 Tc 2.07